Record 1
VASP calculation (PBE) on SmCd2Ge after structural relaxation.

Computed properties:
Offset from the most stable computed form in eV/atom: 0.000
Symmetry: P4/mmm (123)

Cell and atoms, written as POSCAR:
```
SmCd2Ge
1.0
4.330 0.000 0.000
0.000 4.330 0.000
0.000 0.000 4.934
Sm Cd Ge
1 2 1
direct
0.000 0.000 0.000 Sm
0.000 0.500 0.500 Cd
0.500 0.000 0.500 Cd
0.500 0.500 0.000 Ge
```


Record 2
VASP calculation (PBE) on Tm2HfUAs4 after structural relaxation.

Computed properties:
Symmetry: P2/m (10)

Cell and atoms, written as POSCAR:
```
Tm2HfUAs4
1.0
6.913 0.000 0.000
0.000 3.991 0.000
-2.277 0.000 6.577
Tm Hf U As
2 1 1 4
direct
0.000 0.000 0.000 Tm
0.500 0.500 0.000 Tm
0.000 0.500 0.500 Hf
0.500 0.000 0.500 U
0.240 0.000 0.740 As
0.243 0.500 0.253 As
0.757 0.500 0.747 As
0.760 0.000 0.260 As
```


Record 3
VASP calculation (PBE) on Tl2MoAu after structural relaxation.

Computed properties:
Offset from the most stable computed form in eV/atom: 0.201
Symmetry: Pmmm (47)

Cell and atoms, written as POSCAR:
```
Tl2MoAu
1.0
3.022 0.000 0.000
0.000 5.189 0.000
0.000 0.000 5.497
Tl Mo Au
2 1 1
direct
0.000 0.000 0.000 Tl
0.500 0.000 0.500 Tl
0.000 0.500 0.500 Mo
0.500 0.500 0.000 Au
```


no.,ΔE_f (eV per atom),N(E_F) (states/eV per atom),calculated total energy (eV per cell)
1,-0.409,0.4486,-12.80
2,-1.166,0.8910,-58.11
3,0.643,0.5701,-16.27